Hf2ZnRu: relaxed, PBE.

## Properties
* ΔE_f: 93.4 meV/atom
* crystal system: tetragonal
* N(E_F): 1.322 states/eV/f.u.
* total energy: -60.17 eV per cell

abc: 7.4189 7.4189 5.9512
angles: 51.44 51.44 90.00
With the nearest neighbours (Å) after each atom.
Fractional coordinates of all 8 atoms:
Hf: 0.0905 0.6250 0.2500  2 Ru 2.55
Hf: 0.6595 0.1250 0.2500  2 Ru 2.55
Hf: 0.8750 0.9095 0.7500  2 Ru 2.55
Hf: 0.3750 0.3405 0.7500  2 Ru 2.55
Zn: 0.2500 0.7500 0.5000  2 Ru 2.81, 4 Hf 2.90
Zn: 0.5000 0.5000 0.0000  2 Ru 2.81, 4 Hf 2.90
Ru: 0.7500 0.2500 0.5000  4 Hf 2.55, 2 Zn 2.81
Ru: 0.0000 0.0000 0.0000  4 Hf 2.55, 2 Zn 2.81


Hf5Zn4Ru: relaxed, PBE.

## Properties
* ΔE_f: -310.2 meV/atom
* crystal system: tetragonal
* N(E_F): 3.504 states/eV/f.u.
* total energy: -67.24 eV per cell

abc: 3.2890 3.2890 16.4839
angles: 90.00 90.00 90.00
With the nearest neighbours (Å) after each atom.
Fractional coordinates of all 10 atoms:
Hf: 0.5000 0.5000 0.9036  4 Ru 2.82, 4 Zn 2.88
Hf: 0.5000 0.5000 0.0964  4 Ru 2.82, 4 Zn 2.88
Hf: 0.5000 0.5000 0.5000  8 Zn 2.85
Hf: 0.5000 0.5000 0.2990  8 Zn 2.85-2.86
Hf: 0.5000 0.5000 0.7010  8 Zn 2.85-2.86
Zn: 0.0000 0.0000 0.3998  8 Hf 2.85-2.86
Zn: 0.0000 0.0000 0.6002  8 Hf 2.85-2.86
Zn: 0.0000 0.0000 0.1993  8 Hf 2.85-2.88
Zn: 0.0000 0.0000 0.8007  8 Hf 2.85-2.88
Ru: 0.0000 0.0000 0.0000  8 Hf 2.82


HfZnRu: relaxed, PBE.

## Properties
* ΔE_f: -434.7 meV/atom
* crystal system: tetragonal
* N(E_F): 0.270 states/eV/f.u.
* total energy: -21.81 eV per cell

abc: 3.3411 3.3411 5.0021
angles: 109.51 109.51 90.00
With the nearest neighbours (Å) after each atom.
Fractional coordinates of all 3 atoms:
Hf: 0.2916 0.2916 0.5831  5 Ru 2.74-3.02, 5 Zn 2.81-2.86
Ru: 0.9487 0.9487 0.8975  5 Hf 2.74-3.02, 5 Zn 2.76-2.99
Zn: 0.6097 0.6097 0.2194  5 Ru 2.76-2.99, 5 Hf 2.81-2.86


HfZn4Ru: relaxed, PBE.

## Properties
* ΔE_f: -306.3 meV/atom
* crystal system: cubic
* total energy: -26.16 eV per cell

abc: 4.9909 4.9909 4.9909
angles: 60.00 60.00 60.00
With the nearest neighbours (Å) after each atom.
Fractional coordinates of all 6 atoms:
Zn: 0.6255 0.1235 0.6255  6 Zn 2.49-2.51
Zn: 0.6255 0.6255 0.6255  6 Zn 2.49-2.51
Zn: 0.6255 0.6255 0.1235  6 Zn 2.49-2.51
Zn: 0.1235 0.6255 0.6255  6 Zn 2.49-2.51
Hf: 0.2500 0.2500 0.2500  12 Zn 2.93, 4 Ru 3.06
Ru: 0.0000 0.0000 0.0000  12 Zn 2.93, 4 Hf 3.06